Record 1
Density functional theory data (PBE-GGA) for a relaxed structure of YHI3.

For the energy, the calculation gives -3.4621 eV per atom. The energy above the most stable polymorph in this dataset is 223 meV per atom.

The structure belongs to space group Pm-3m (No. 221); the cell edges are 6.0335, 6.0335 and 6.0335 Å and the angles 90.00°, 90.00° and 90.00°. The asymmetric unit holds Y at (0.0000, 0.0000, 0.0000), H at (0.5000, 0.5000, 0.5000) and I at (0.0000, 0.0000, 0.5000).

Record 2
Density functional theory data (PBE-GGA) for a relaxed structure of Sr2Co2Cu.

The value obtained for the energy relative to the elements is 0.385 eV/atom. For the energy, the calculation gives -3.9492 eV per atom.

The structure belongs to space group P4/mbm (No. 127); the cell edges are 6.9075, 6.9075 and 4.5660 Å and the angles 90.00°, 90.00° and 90.00°. The asymmetric unit holds Sr at (0.1847, 0.3153, 0.0000), Co at (0.1138, 0.6138, 0.5000) and Cu at (0.0000, 0.0000, 0.5000).

Record 3
Density functional theory data (PBE-GGA) for a relaxed structure of Mn3GaPt4.

The value obtained for the energy relative to the elements is -0.471 eV/atom. For the energy, the calculation gives -7.3079 eV per atom.

The structure belongs to space group C2/m (No. 12); the cell edges are 5.7627, 5.7623 and 7.7617 Å and the angles 90.00°, 111.68° and 90.00°. The asymmetric unit holds Mn at (0.0000, 0.0000, 0.0000), Mn at (0.2489, 0.5000, 0.4979), Ga at (0.0000, 0.5000, 0.0000) and Pt at (0.1272, 0.2498, 0.7538).

Record 4
Density functional theory data (PBE-GGA) for a relaxed structure of RuAu3F.

The raw formation energy comes out at 897.2 meV/atom. For the energy, the calculation gives -3.2987 eV per atom. The energy above the most stable polymorph in this dataset is 0 meV per atom.

The structure belongs to space group Pm-3m (No. 221); the cell edges are 4.5223, 4.5223 and 4.5223 Å and the angles 90.00°, 90.00° and 90.00°. The asymmetric unit holds Ru at (0.0000, 0.0000, 0.0000), Au at (0.0000, 0.5000, 0.5000) and F at (0.5000, 0.5000, 0.5000).

Record 5
Density functional theory data (PBE-GGA) for a relaxed structure of Tc2PBr.

The raw formation energy comes out at -62.5 meV/atom. For the energy, the calculation gives -7.0162 eV per atom. The energy above the most stable polymorph in this dataset is 0 meV per atom.

The structure belongs to space group Cm (No. 8); the cell edges are 6.2563, 3.6079 and 6.6143 Å and the angles 90.00°, 90.36° and 90.00°. The asymmetric unit holds Tc at (0.0000, 0.0000, 0.0000), Tc at (0.1686, 0.5000, 0.3032), P at (0.3342, 0.0000, 0.1492) and Br at (0.9997, 0.0000, 0.6183).

Record 6
Density functional theory data (PBE-GGA) for a relaxed structure of NbFe3H.

For the energy, the calculation gives -5.6551 eV per atom. The energy above the most stable polymorph in this dataset is 2131 meV per atom.

The structure belongs to space group Pm-3m (No. 221); the cell edges are 4.5747, 4.5747 and 4.5747 Å and the angles 90.00°, 90.00° and 90.00°. The asymmetric unit holds Nb at (0.0000, 0.0000, 0.0000), Fe at (0.0000, 0.0000, 0.5000) and H at (0.5000, 0.5000, 0.5000).

Record 7
Density functional theory data (PBE-GGA) for a relaxed structure of LaCo2P.

The value obtained for the energy relative to the elements is -0.620 eV/atom. For the energy, the calculation gives -6.7575 eV per atom.

The structure belongs to space group R3m (No. 160, hexagonal axes); the cell edges are 3.9561, 3.9561 and 15.2423 Å and the angles 90.00°, 90.00° and 120.00°. The asymmetric unit holds La at (0.0000, 0.0000, 0.0000), Co at (0.0000, 0.0000, 0.4977), Co at (0.0000, 0.0000, 0.8078) and P at (0.0000, 0.0000, 0.1991).

Record 8
Density functional theory data (PBE-GGA) for a relaxed structure of PmErZr.

The value obtained for the energy relative to the elements is 0.136 eV/atom. For the energy, the calculation gives -5.8174 eV per atom. The energy above the most stable polymorph in this dataset is 43 meV per atom.

The structure belongs to space group P-6m2 (No. 187); the cell edges are 5.3984, 5.3984 and 3.3846 Å and the angles 90.00°, 90.00° and 120.00°. The asymmetric unit holds Pm at (0.0000, 0.0000, 0.0000), Er at (0.6667, 0.3333, 0.5000) and Zr at (0.3333, 0.6667, 0.0000).

Record 9
Density functional theory data (PBE-GGA) for a relaxed structure of Ac4PmPr8.

The value obtained for the energy relative to the elements is 0.494 eV/atom. For the energy, the calculation gives -4.0763 eV per atom.

The structure belongs to space group R-3m (No. 166, hexagonal axes); the cell edges are 11.8432, 11.8432 and 13.8703 Å and the angles 90.00°, 90.00° and 120.00°. The asymmetric unit holds Ac at (0.0000, 0.0000, 0.0000), Ac at (0.0000, 0.5000, 0.0000), Pm at (0.0000, 0.0000, 0.5000), Pr at (0.0000, 0.0000, 0.2408) and Pr at (0.0075, 0.5038, 0.7383).

Record 10
Density functional theory data (PBE-GGA) for a relaxed structure of K2Al.

The value obtained for the energy relative to the elements is 0.471 eV/atom. For the energy, the calculation gives -1.5083 eV per atom. The energy above the most stable polymorph in this dataset is 332 meV per atom.

The structure belongs to space group P6_3/mmc (No. 194); the cell edges are 8.2303, 8.2303 and 9.2199 Å and the angles 90.00°, 90.00° and 120.00°. The asymmetric unit holds K at (0.0000, 0.0000, 0.0000), K at (0.1940, 0.3879, 0.2500) and Al at (0.3333, 0.6667, 0.6100).

Record 11
Density functional theory data (PBE-GGA) for a relaxed structure of Tb3Pr6Y2.

The value obtained for the energy relative to the elements is 0.291 eV/atom. For the energy, the calculation gives -4.7542 eV per atom. The energy above the most stable polymorph in this dataset is 276 meV per atom.

The structure belongs to space group I4/mmm (No. 139); the cell edges are 4.7817, 4.7817 and 34.5720 Å and the angles 90.00°, 90.00° and 90.00°. The asymmetric unit holds Tb at (0.0000, 0.0000, 0.0000), Tb at (0.0000, 0.0000, 0.1935), Pr at (0.0000, 0.0000, 0.2928), Pr at (0.0000, 0.5000, 0.1202) and Y at (0.0000, 0.0000, 0.4551).

Record 12
Density functional theory data (PBE-GGA) for a relaxed structure of Ga2CoNi2.

The value obtained for the energy relative to the elements is -0.160 eV/atom. For the energy, the calculation gives -5.1040 eV per atom. The energy above the most stable polymorph in this dataset is 0 meV per atom.

The structure belongs to space group Cmmm (No. 65); the cell edges are 2.8149, 15.6981 and 2.8121 Å and the angles 90.00°, 90.00° and 90.00°. The asymmetric unit holds Ga at (0.0000, 0.0961, 0.0000), Co at (0.0000, 0.5000, 0.5000) and Ni at (0.0000, 0.3142, 0.5000).